# TaVFe2 PBE relaxed
# Energy relative to the elements   -0.098 eV per atom
# Volume   53.0 Å³/cell
data_TaVFe2
_chemical_formula_sum 'Ta1 V1 Fe2'
_cell_length_a 4.202
_cell_length_b 4.202
_cell_length_c 3.000
_cell_angle_alpha 90.00
_cell_angle_beta 90.00
_cell_angle_gamma 90.00
_symmetry_space_group_name_H-M 'P 4/m m m'
_symmetry_Int_Tables_number 123
_symmetry_space_group_name_Hall '-P 4 2'
loop_
_atom_site_label
_atom_site_type_symbol
_atom_site_fract_x
_atom_site_fract_y
_atom_site_fract_z
_atom_site_occupancy
Ta1 Ta 0.000 0.000 0.000 1
V1 V 0.500 0.500 0.000 1
Fe1 Fe 0.000 0.500 0.500 1